[1]
KPbI2 (PBE, optimized geometry); M_tot = 0.55 μB/f.u.; SG = I-42d (122); energy above the lowest structure with this stoichiometry = 10 meV/atom
1.0
6.801 0.000 0.000
0.000 6.801 0.000
3.400 3.400 9.530
Pb I K
2 4 2
direct
0.000 0.000 0.000
0.750 0.250 0.500
0.657 0.125 0.250
0.093 0.625 0.250
0.375 0.343 0.750
0.875 0.907 0.750
0.500 0.500 0.000
0.250 0.750 0.500


[2]
ZrVTcSb (PBE, optimized geometry); M_tot = 2.96 μB/f.u.; SG = F-43m (216)
1.0
-0.011 -0.847 4.554
-0.633 -4.318 1.551
3.521 -2.305 1.936
Sb Tc Zr V
1 1 1 1
direct
0.000 0.000 0.000
0.250 0.250 0.250
0.500 0.500 0.500
0.750 0.750 0.750


Energy relative to the elements, uncorrected: -0.63 -0.23 (eV per atom)
Volume: 55.09 17.57 (Å³/atom)